Entry 1:
Entry from Alexandria: crystalline Tm6Si2PbS3 at its relaxed geometry (PBE).

Lattice parameters (Å, degrees): 9.036 9.036 8.149 103.82 103.82 25.52
Fractional coordinates of all 12 atoms:
Tm 0.000 0.000 0.228
Tm 0.000 0.000 0.772
Tm 0.325 0.325 0.407
Tm 0.330 0.330 0.922
Tm 0.670 0.670 0.078
Tm 0.675 0.675 0.593
Si 0.165 0.165 0.831
Si 0.835 0.835 0.169
Pb 0.500 0.500 0.500
S 0.167 0.167 0.330
S 0.500 0.500 0.000
S 0.833 0.833 0.670

Values from the calculation:
As for the total energy: -68.737 eV/f.u. Its density of states at the Fermi level is 3.57 states/eV/f.u. The value obtained for the formation energy from raw total energies is -1.25 eV/atom. Its crystal system is monoclinic.

***

Entry 2:
Entry from Alexandria: crystalline CuSi2Hg at its relaxed geometry (PBE).

Lattice parameters (Å, degrees): 3.140 3.140 23.607 90.00 90.00 120.00
Fractional coordinates of all 12 atoms:
Cu 0.000 0.000 0.000
Cu 0.333 0.667 0.667
Cu 0.667 0.333 0.333
Si 0.000 0.000 0.264
Si 0.000 0.000 0.523
Si 0.333 0.667 0.190
Si 0.333 0.667 0.931
Si 0.667 0.333 0.598
Si 0.667 0.333 0.857
Hg 0.000 0.000 0.757
Hg 0.333 0.667 0.424
Hg 0.667 0.333 0.091

Values from the calculation:
As for the total energy: -13.949 eV/f.u. Its density of states at the Fermi level is 1.98 states/eV/f.u. The value obtained for the formation energy from raw total energies is 0.32 eV/atom. Its crystal system is trigonal.

***

Entry 3:
Entry from Alexandria: crystalline CaTbGe at its relaxed geometry (PBE).

Lattice parameters (Å, degrees): 3.472 17.354 5.817 90.00 90.00 90.00
Fractional coordinates of all 12 atoms:
Ca 0.000 0.177 0.250
Ca 0.000 0.823 0.750
Ca 0.500 0.323 0.750
Ca 0.500 0.677 0.250
Tb 0.000 0.500 0.000
Tb 0.000 0.500 0.500
Tb 0.500 0.000 0.000
Tb 0.500 0.000 0.500
Ge 0.000 0.352 0.250
Ge 0.000 0.648 0.750
Ge 0.500 0.148 0.750
Ge 0.500 0.852 0.250

Values from the calculation:
The formation energy comes out at -152.1 meV/atom. As for the total energy: -11.706 eV/f.u. Its density of states at the Fermi level is 2.50 states/eV/f.u. Its crystal system is orthorhombic.

***

Entry 4:
Entry from Alexandria: crystalline NdCdRh at its relaxed geometry (PBE).

Lattice parameters (Å, degrees): 3.481 3.481 11.172 90.00 90.00 90.00
Fractional coordinates of all 6 atoms:
Nd 0.000 0.000 0.000
Nd 0.500 0.500 0.500
Cd 0.000 0.000 0.713
Cd 0.500 0.500 0.213
Rh 0.000 0.000 0.351
Rh 0.500 0.500 0.851

Values from the calculation:
The formation energy comes out at -383.9 meV/atom. As for the total energy: -14.186 eV/f.u. Its density of states at the Fermi level is 1.98 states/eV/f.u. Its crystal system is tetragonal.

***

Entry 5:
Entry from Alexandria: crystalline CrSbIr3 at its relaxed geometry (PBE).

Lattice parameters (Å, degrees): 4.551 4.551 4.551 90.00 90.00 90.00
Fractional coordinates of all 5 atoms:
Cr 0.000 0.000 0.000
Sb 0.500 0.500 0.500
Ir 0.000 0.000 0.500
Ir 0.000 0.500 0.000
Ir 0.500 0.000 0.000

Values from the calculation:
Its energy relative to the lowest polymorph listed for this composition is 0 meV per atom. As for the total energy: -34.764 eV/f.u. Its density of states at the Fermi level is 5.28 states/eV/f.u. The value obtained for the formation energy from raw total energies is 1.11 eV/atom. Its crystal system is cubic.

***

Entry 6:
Entry from Alexandria: crystalline Th4Ni2Pt at its relaxed geometry (PBE).

Lattice parameters (Å, degrees): 7.456 7.456 7.545 106.64 106.64 108.74
Fractional coordinates of all 14 atoms:
Th 0.005 0.995 0.500
Th 0.086 0.590 0.214
Th 0.397 0.530 0.634
Th 0.516 0.889 0.130
Th 0.530 0.397 0.134
Th 0.590 0.086 0.714
Th 0.889 0.516 0.630
Th 0.995 0.005 0.000
Ni 0.247 0.862 0.750
Ni 0.630 0.748 0.481
Ni 0.748 0.630 0.981
Ni 0.862 0.247 0.250
Pt 0.134 0.363 0.864
Pt 0.363 0.134 0.364

Values from the calculation:
The formation energy comes out at -526.5 meV/atom. As for the total energy: -50.968 eV/f.u. Its density of states at the Fermi level is 6.93 states/eV/f.u. Its crystal system is monoclinic.

***

Entry 7:
Entry from Alexandria: crystalline La2Pr8Hg at its relaxed geometry (PBE).

Lattice parameters (Å, degrees): 9.551 9.551 7.788 108.11 108.11 35.17
Fractional coordinates of all 11 atoms:
La 0.183 0.183 0.167
La 0.817 0.817 0.833
Pr 0.015 0.015 0.273
Pr 0.184 0.184 0.738
Pr 0.336 0.336 0.560
Pr 0.399 0.399 0.070
Pr 0.601 0.601 0.930
Pr 0.664 0.664 0.440
Pr 0.816 0.816 0.262
Pr 0.985 0.985 0.727
Hg 0.500 0.500 0.500

Values from the calculation:
Its energy relative to the lowest polymorph listed for this composition is 53 meV per atom. The formation energy comes out at 7.8 meV/atom. As for the total energy: -48.306 eV/f.u. Its density of states at the Fermi level is 17.45 states/eV/f.u. Its crystal system is monoclinic.

***

Entry 8:
Entry from Alexandria: crystalline Pr2PuAl4Pt3 at its relaxed geometry (PBE).

Lattice parameters (Å, degrees): 4.329 4.329 11.315 90.00 90.00 90.00
Fractional coordinates of all 10 atoms:
Pr 0.000 0.500 0.233
Pr 0.500 0.000 0.767
Pu 0.000 0.000 0.500
Al 0.000 0.000 0.000
Al 0.000 0.500 0.669
Al 0.500 0.000 0.331
Al 0.500 0.500 0.000
Pt 0.000 0.500 0.883
Pt 0.500 0.000 0.117
Pt 0.500 0.500 0.500

Values from the calculation:
The formation energy comes out at -804.9 meV/atom. As for the total energy: -65.033 eV/f.u. Its density of states at the Fermi level is 13.30 states/eV/f.u. Its crystal system is tetragonal.

***

Entry 9:
Entry from Alexandria: crystalline BaFeIr2 at its relaxed geometry (PBE).

Lattice parameters (Å, degrees): 3.049 4.262 6.644 90.00 103.18 90.00
Fractional coordinates of all 4 atoms:
Ba 0.000 0.000 0.000
Fe 0.662 0.500 0.326
Ir 0.314 0.500 0.632
Ir 0.755 0.000 0.516

Values from the calculation:
The formation energy comes out at 446.8 meV/atom. As for the total energy: -26.320 eV/f.u. Its density of states at the Fermi level is 3.75 states/eV/f.u. Its crystal system is monoclinic.

***

Entry 10:
Entry from Alexandria: crystalline MnAsCl2 at its relaxed geometry (PBE).

Lattice parameters (Å, degrees): 14.454 3.326 4.373 90.00 96.84 90.00
Fractional coordinates of all 8 atoms:
Mn 0.000 0.000 0.000
Mn 0.500 0.500 0.000
As 0.000 0.500 0.500
As 0.500 0.000 0.500
Cl 0.136 0.500 0.197
Cl 0.364 0.000 0.803
Cl 0.636 0.000 0.197
Cl 0.864 0.500 0.803

Values from the calculation:
Its energy relative to the lowest polymorph listed for this composition is 89 meV per atom. As for the total energy: -18.834 eV/f.u. Its density of states at the Fermi level is 1.04 states/eV/f.u. The value obtained for the formation energy from raw total energies is -0.33 eV/atom. Its crystal system is monoclinic.

***

Entry 11:
Entry from Alexandria: crystalline TbTmIn2Te4 at its relaxed geometry (PBE).

Lattice parameters (Å, degrees): 7.618 4.399 8.503 90.00 107.37 90.00
Fractional coordinates of all 8 atoms:
Tb 0.000 0.000 0.000
Tm 0.500 0.500 0.000
In 0.000 0.500 0.500
In 0.500 0.000 0.500
Te 0.243 0.500 0.219
Te 0.265 0.000 0.783
Te 0.735 0.000 0.217
Te 0.757 0.500 0.781

Values from the calculation:
As for the total energy: -34.819 eV/f.u. Its density of states at the Fermi level is 0.75 states/eV/f.u. The value obtained for the formation energy from raw total energies is -0.96 eV/atom. Its crystal system is monoclinic.

***

Entry 12:
Entry from Alexandria: crystalline LiTa2Cr at its relaxed geometry (PBE).

Lattice parameters (Å, degrees): 4.356 4.356 3.139 90.00 90.00 90.00
Fractional coordinates of all 4 atoms:
Li 0.000 0.000 0.000
Ta 0.000 0.500 0.500
Ta 0.500 0.000 0.500
Cr 0.500 0.500 0.000

Values from the calculation:
Its energy relative to the lowest polymorph listed for this composition is 23 meV per atom. The formation energy comes out at 267.6 meV/atom. As for the total energy: -34.172 eV/f.u. Its density of states at the Fermi level is 2.66 states/eV/f.u. Its crystal system is tetragonal.